# PrBPd, optimized geometry, DFT GGA-PBE
# symmetry	F-43m, No. 216
# raw total energy	-5.50	eV per atom
# total magnetization	0.010	Bohr magnetons per cell
# V	58	Å³/f.u.
data_PrBPd
_chemical_formula_sum 'Pr1 B1 Pd1'
_symmetry_space_group_name_H-M 'P 1'
_symmetry_Int_Tables_number 1
_symmetry_space_group_name_Hall 'P 1'
_cell_length_a 4.343
_cell_length_b 4.343
_cell_length_c 4.343
_cell_angle_alpha 60.00
_cell_angle_beta 60.00
_cell_angle_gamma 60.00
loop_
_atom_site_label
_atom_site_fract_x
_atom_site_fract_y
_atom_site_fract_z
Pr1 0.000 0.000 0.000
B1 0.750 0.750 0.750
Pd1 0.500 0.500 0.500